(1)
ThMgAl2Zn2 | GGA-PBE | optimized geometry

The structure in POSCAR format:
```
ThMgAl2Zn2
1.0
-3.8100 -1.2181 -1.9088
3.6634 0.4496 -2.4537
1.5953 -6.7765 1.1401
Zn Al Th Mg
2 2 1 1
direct
0.3333 0.6667 0.2799 Zn
0.6667 0.3333 0.7201 Zn
0.6667 0.3333 0.2766 Al
0.3333 0.6667 0.7234 Al
0.0000 0.0000 0.0000 Th
0.0000 0.0000 0.5000 Mg
```

Calculated values
The calculation puts the density of states at the Fermi level at 0.21 states/eV/atom. For the volume, the calculation gives 20.00 Å³ per atom. As for the energy relative to the elements: -0.287 eV per atom.

(2)
Th2MgAl3Zn6 | GGA-PBE | optimized geometry

The structure in POSCAR format:
```
Th2MgAl3Zn6
1.0
4.2693 0.0000 0.0000
0.0000 4.2693 0.0000
0.0000 0.0000 15.7261
Zn Mg Al Th
6 1 3 2
direct
0.0000 0.5000 0.3977 Zn
0.5000 0.0000 0.3977 Zn
0.5000 0.0000 0.6023 Zn
0.0000 0.0000 0.1516 Zn
0.0000 0.5000 0.6023 Zn
0.0000 0.0000 0.8484 Zn
0.5000 0.5000 0.5000 Mg
0.0000 0.0000 0.3062 Al
0.0000 0.0000 0.6938 Al
0.0000 0.0000 0.0000 Al
0.5000 0.5000 0.2439 Th
0.5000 0.5000 0.7561 Th
```

Calculated values
The calculation puts the density of states at the Fermi level at 0.46 states/eV/atom. For the volume, the calculation gives 23.89 Å³ per atom. As for the energy relative to the elements: 0.106 eV per atom.

(3)
Th2MgAl3Zn4 | GGA-PBE | optimized geometry

The structure in POSCAR format:
```
Th2MgAl3Zn4
1.0
4.2687 0.0000 0.0000
0.0000 4.2687 0.0000
0.0000 0.0000 10.9442
Zn Mg Al Th
4 1 3 2
direct
0.5000 0.5000 0.0000 Zn
0.5000 0.0000 0.6437 Zn
0.0000 0.0000 0.0000 Zn
0.0000 0.5000 0.3563 Zn
0.5000 0.5000 0.5000 Mg
0.0000 0.0000 0.5000 Al
0.0000 0.5000 0.1311 Al
0.5000 0.0000 0.8689 Al
0.0000 0.5000 0.7595 Th
0.5000 0.0000 0.2405 Th
```

Calculated values
The calculation puts the density of states at the Fermi level at 0.36 states/eV/atom. For the volume, the calculation gives 19.94 Å³ per atom. As for the energy relative to the elements: -0.324 eV per atom.

(4)
ThMg2AlZn2 | GGA-PBE | optimized geometry

The structure in POSCAR format:
```
ThMg2AlZn2
1.0
5.0156 0.0000 0.0000
0.0000 5.0156 0.0000
-2.5078 -2.5078 5.5343
Al Zn Mg Th
1 2 2 1
direct
0.0000 0.0000 0.0000 Al
0.2161 0.2161 0.4322 Zn
0.7839 0.7839 0.5678 Zn
0.7500 0.2500 0.5000 Mg
0.2500 0.7500 0.5000 Mg
0.5000 0.5000 0.0000 Th
```

Calculated values
The calculation puts the density of states at the Fermi level at 0.52 states/eV/atom. For the volume, the calculation gives 23.20 Å³ per atom. As for the energy relative to the elements: 0.191 eV per atom.